Entry 1:
## Ac2Sc3Ge4 (PBE)

Data for a geometry-optimized Ac2Sc3Ge4 structure.

The calculated total energy is -5.8107 eV per atom. The distance to the lowest polymorph of the same formula is 0.55 eV/f.u. The calculation puts the formation energy at -735 meV per atom.

It has space group Cmce (No. 64), with a = 6.673 Å, b = 16.334 Å, c = 8.219 Å, α = 90.00°, β = 90.00° and γ = 90.00°. The distinct sites, in fractional coordinates, are Ac at (0.000, 0.110, 0.088), Sc at (0.000, 0.000, 0.500), Sc at (0.250, 0.208, 0.750), Ge at (0.000, 0.192, 0.449) and Ge at (0.250, 0.040, 0.750).

Entry 2:
## Ac2Sc3Ge4 (PBE)

Data for a geometry-optimized Ac2Sc3Ge4 structure.

The calculated total energy is -5.8713 eV per atom. The distance to the lowest polymorph of the same formula is 0.00 eV/f.u. The calculation puts the formation energy at -796 meV per atom.

It has space group P2_1/c (No. 14), with a = 7.755 Å, b = 7.841 Å, c = 7.633 Å, α = 90.00°, β = 109.31° and γ = 90.00°. The distinct sites, in fractional coordinates, are Ac at (0.190, 0.169, 0.063), Sc at (0.259, 0.663, 0.255), Sc at (0.500, 0.000, 0.500), Ge at (0.091, 0.547, 0.872) and Ge at (0.497, 0.638, 0.643).

Entry 3:
## Ac2ScGe (PBE)

Data for a geometry-optimized Ac2ScGe structure.

The calculated total energy is -4.9654 eV per atom. The distance to the lowest polymorph of the same formula is 0.00 eV/f.u. The calculation puts the formation energy at -174 meV per atom.

It has space group P4/mmm (No. 123), with a = 5.230 Å, b = 5.230 Å, c = 4.499 Å, α = 90.00°, β = 90.00° and γ = 90.00°. The distinct sites, in fractional coordinates, are Ac at (0.000, 0.500, 0.000), Sc at (0.000, 0.000, 0.500) and Ge at (0.500, 0.500, 0.500).

Entry 4:
## Ac2ScGe3 (PBE)

Data for a geometry-optimized Ac2ScGe3 structure.

The calculated total energy is -5.3077 eV per atom. The calculation puts the formation energy at -574 meV per atom.

It has space group C2/c (No. 15), with a = 12.409 Å, b = 6.139 Å, c = 9.848 Å, α = 90.00°, β = 113.37° and γ = 90.00°. The distinct sites, in fractional coordinates, are Ac at (0.179, 0.001, 0.089), Sc at (0.000, 0.500, 0.250), Ge at (0.000, 0.001, 0.750) and Ge at (0.115, 0.499, 0.557).

Entry 5:
## Ac3ScGe4 (PBE)

Data for a geometry-optimized Ac3ScGe4 structure.

The calculated total energy is -5.1484 eV per atom. The calculation puts the formation energy at -508 meV per atom.

It has space group Pmn2_1 (No. 31), with a = 12.025 Å, b = 6.316 Å, c = 6.125 Å, α = 90.00°, β = 90.00° and γ = 90.00°. The distinct sites, in fractional coordinates, are Ac at (0.000, 0.076, 0.000), Ac at (0.248, 0.699, 0.997), Sc at (0.000, 0.565, 0.499), Ge at (0.000, 0.082, 0.500), Ge at (0.000, 0.555, 0.999) and Ge at (0.181, 0.822, 0.497).

Entry 6:
## AcSc2Ge4 (PBE)

Data for a geometry-optimized AcSc2Ge4 structure.

The calculated total energy is -5.7261 eV per atom. The calculation puts the formation energy at -692 meV per atom.

It has space group Immm (No. 71), with a = 3.865 Å, b = 4.196 Å, c = 19.531 Å, α = 90.00°, β = 90.00° and γ = 90.00°. The distinct sites, in fractional coordinates, are Ac at (0.000, 0.000, 0.000), Sc at (0.000, 0.500, 0.314), Ge at (0.000, 0.000, 0.415) and Ge at (0.000, 0.500, 0.172).

Entry 7:
## AcScGe2 (PBE)

Data for a geometry-optimized AcScGe2 structure.

The calculated total energy is -5.5740 eV per atom. The calculation puts the formation energy at -655 meV per atom.

It has space group C2/m (No. 12), with a = 7.462 Å, b = 4.885 Å, c = 6.549 Å, α = 90.00°, β = 118.81° and γ = 90.00°. The distinct sites, in fractional coordinates, are Ac at (0.000, 0.000, 0.000), Sc at (0.000, 0.500, 0.500) and Ge at (0.201, 0.000, 0.666).

Entry 8:
## AcScGe2 (PBE)

Data for a geometry-optimized AcScGe2 structure.

The calculated total energy is -5.6379 eV per atom. The calculation puts the formation energy at -719 meV per atom.

It has space group Pnma (No. 62), with a = 8.469 Å, b = 4.141 Å, c = 11.437 Å, α = 90.00°, β = 90.00° and γ = 90.00°. The distinct sites, in fractional coordinates, are Ac at (0.129, 0.250, 0.134), Sc at (0.008, 0.750, 0.393), Ge at (0.169, 0.250, 0.810) and Ge at (0.229, 0.250, 0.441).

Entry 9:
## AcScGe2 (PBE)

Data for a geometry-optimized AcScGe2 structure.

The calculated total energy is -5.5323 eV per atom. The calculation puts the formation energy at -614 meV per atom.

It has space group P4/mmm (No. 123), with a = 3.763 Å, b = 3.763 Å, c = 6.709 Å, α = 90.00°, β = 90.00° and γ = 90.00°. The distinct sites, in fractional coordinates, are Ac at (0.000, 0.000, 0.000), Sc at (0.000, 0.000, 0.500) and Ge at (0.500, 0.500, 0.309).

Entry 10:
## AcSc2Ge2 (PBE)

Data for a geometry-optimized AcSc2Ge2 structure.

The calculated total energy is -5.7483 eV per atom. The distance to the lowest polymorph of the same formula is 1.01 eV/f.u. The calculation puts the formation energy at -547 meV per atom.

It has space group Fddd (No. 70, origin choice 2), with a = 8.925 Å, b = 11.071 Å, c = 11.562 Å, α = 90.00°, β = 90.00° and γ = 90.00°. The distinct sites, in fractional coordinates, are Ac at (0.125, 0.125, 0.125), Sc at (0.125, 0.125, 0.494) and Ge at (0.125, 0.337, 0.625).

Entry 11:
## AcSc2Ge2 (PBE)

Data for a geometry-optimized AcSc2Ge2 structure.

The calculated total energy is -5.9495 eV per atom. The distance to the lowest polymorph of the same formula is 0.00 eV/f.u. The calculation puts the formation energy at -748 meV per atom.

It has space group I4/mmm (No. 139), with a = 4.491 Å, b = 4.491 Å, c = 12.261 Å, α = 90.00°, β = 90.00° and γ = 90.00°. The distinct sites, in fractional coordinates, are Ac at (0.000, 0.000, 0.000), Sc at (0.000, 0.500, 0.250) and Ge at (0.000, 0.000, 0.388).

Entry 12:
## Ac2ScGeSe6 (PBE)

Data for a geometry-optimized Ac2ScGeSe6 structure.

The calculated total energy is -5.4736 eV per atom.

It has space group P2_1/c (No. 14), with a = 6.984 Å, b = 7.698 Å, c = 12.302 Å, α = 90.00°, β = 124.36° and γ = 90.00°. The distinct sites, in fractional coordinates, are Ac at (0.211, 0.101, 0.248), Sc at (0.500, 0.000, 0.000), Ge at (0.000, 0.000, 0.500), Se at (0.130, 0.187, 0.948), Se at (0.268, 0.686, 0.948) and Se at (0.362, 0.021, 0.749).